First-principles (PBE) data for a relaxed structure of KAgO2, as listed in Alexandria via LeMat-Bulk.

a = 5.559 Å, b = 5.559 Å, c = 5.904 Å
α = 101.69°, β = 101.69°, γ = 103.98°
Fractional positions:
K (0.141, 0.859, 0.750)
K (0.859, 0.141, 0.250)
Ag (0.500, 0.500, 0.000)
Ag (0.500, 0.500, 0.500)
O (0.242, 0.346, 0.671)
O (0.346, 0.242, 0.171)
O (0.654, 0.758, 0.829)
O (0.758, 0.654, 0.329)

The crystal system is monoclinic. The uncorrected formation energy is -665.9 meV/atom. The calculation puts the final energy at -0.3037 Ry per atom.

***

First-principles (PBE) data for a relaxed structure of KAgO2, as listed in Alexandria via LeMat-Bulk.

a = 7.343 Å, b = 7.343 Å, c = 7.343 Å
α = 28.10°, β = 28.10°, γ = 28.10°
Fractional positions:
K (0.000, 0.000, 0.000)
Ag (0.500, 0.500, 0.500)
O (0.410, 0.410, 0.410)
O (0.590, 0.590, 0.590)

The crystal system is trigonal. The uncorrected formation energy is -199.9 meV/atom. The calculation puts the final energy at -0.2695 Ry per atom.

***

First-principles (PBE) data for a relaxed structure of K7Ag3O2, as listed in Alexandria via LeMat-Bulk.

a = 13.688 Å, b = 13.688 Å, c = 5.366 Å
α = 90.00°, β = 90.00°, γ = 157.61°
Fractional positions:
K (0.000, 0.000, 0.000)
K (0.104, 0.896, 0.500)
K (0.195, 0.805, 0.000)
K (0.401, 0.599, 0.000)
K (0.599, 0.401, 0.000)
K (0.805, 0.195, 0.000)
K (0.896, 0.104, 0.500)
Ag (0.277, 0.723, 0.500)
Ag (0.500, 0.500, 0.500)
Ag (0.723, 0.277, 0.500)
O (0.100, 0.900, 0.000)
O (0.900, 0.100, 0.000)

The crystal system is orthorhombic. The uncorrected formation energy is -498.6 meV/atom. The calculation puts the final energy at -0.1968 Ry per atom.

***

First-principles (PBE) data for a relaxed structure of K5AgO4, as listed in Alexandria via LeMat-Bulk.

a = 7.310 Å, b = 7.310 Å, c = 8.926 Å
α = 110.92°, β = 110.92°, γ = 32.51°
Fractional positions:
K (0.000, 0.000, 0.000)
K (0.294, 0.294, 0.184)
K (0.351, 0.351, 0.630)
K (0.649, 0.649, 0.370)
K (0.706, 0.706, 0.816)
Ag (0.000, 0.000, 0.500)
O (0.152, 0.152, 0.570)
O (0.364, 0.364, 0.934)
O (0.636, 0.636, 0.066)
O (0.848, 0.848, 0.430)

The crystal system is monoclinic. The uncorrected formation energy is -871.7 meV/atom. The calculation puts the final energy at -0.2711 Ry per atom.